## CoNiRh2 (PBE)

Data for a geometry-optimized CoNiRh2 structure.

The structure in POSCAR format:
```
CoNiRh2
1.0
3.772 0.000 0.000
0.000 3.772 0.000
0.000 0.000 7.228
Co Ni Rh
2 2 4
direct
0.000 0.000 0.000
0.500 0.500 0.500
0.000 0.000 0.500
0.500 0.500 0.000
0.000 0.500 0.250
0.000 0.500 0.750
0.500 0.000 0.250
0.500 0.000 0.750
```

Output
Polymorph energy (0 for the lowest one) ... 5 meV per atom
Calculated formation energy ... 60.2 meV/atom
Total magnetic moment ... 7.8 μB per cell
Crystal system ... tetragonal